{"formula": "MnRhW2", "functional": "meta-GGA SCAN", "state": "PBEsol geometry", "formation_energy_mev_per_atom": 150, "volume_a3_per_cell": 57.1, "total_magnetization_mub_per_fu": 3.3, "lattice_angstrom": [[1.356, 0.783, 8.964], [-1.356, 0.783, 8.964], [0.000, -1.565, 8.964]], "species": ["Mn", "Rh", "W", "W"], "fractional_positions": [[0.000, 0.000, 0.000], [0.256, 0.256, 0.256], [0.506, 0.506, 0.506], [0.747, 0.747, 0.747]]}